PuAgPbO6 | PBE-GGA | relaxed

Space group: P-31c (163)
D(E_F) (states/eV per cell): 6.2
Energy (eV/atom): -6.9037
Formation energy without anion corrections (meV/atom): -1277

Cell lengths 5.6268, 5.6268, 9.8211 Å; angles 90.00, 90.00, 120.00 degrees
Last column: nearest neighbours and their distance in Å.
Atoms (fractional coordinates):
Pu 0.3333 0.6667 0.2500  6 O 2.05
Pu 0.6667 0.3333 0.7500  6 O 2.05
Ag 0.0000 0.0000 0.0000  6 O 2.39
Ag 0.0000 0.0000 0.5000  6 O 2.39
Pb 0.3333 0.6667 0.7500  6 O 2.26
Pb 0.6667 0.3333 0.2500  6 O 2.26
O 0.0282 0.3683 0.1333  1 Pu 2.05, 1 Pb 2.26
O 0.0282 0.6599 0.3667  1 Pu 2.05, 1 Pb 2.26
O 0.3401 0.3683 0.3667  1 Pu 2.05, 1 Pb 2.26
O 0.3401 0.9718 0.1333  1 Pu 2.05, 1 Pb 2.26
O 0.3683 0.0282 0.6333  1 Pu 2.05, 1 Pb 2.26
O 0.3683 0.3401 0.8667  1 Pu 2.05, 1 Pb 2.26
O 0.6317 0.6599 0.1333  1 Pu 2.05, 1 Pb 2.26
O 0.6317 0.9718 0.3667  1 Pu 2.05, 1 Pb 2.26
O 0.6599 0.0282 0.8667  1 Pu 2.05, 1 Pb 2.26
O 0.6599 0.6317 0.6333  1 Pu 2.05, 1 Pb 2.26
O 0.9718 0.3401 0.6333  1 Pu 2.05, 1 Pb 2.26
O 0.9718 0.6317 0.8667  1 Pu 2.05, 1 Pb 2.26



PuAgPb2O8 | PBE-GGA | relaxed

Space group: P-1 (2)
D(E_F) (states/eV per cell): 2.6
Energy (eV/atom): -6.6018
Formation energy without anion corrections (meV/atom): -1246

Cell lengths 5.1882, 5.1949, 6.8473 Å; angles 86.46, 86.38, 86.98 degrees
Last column: nearest neighbours and their distance in Å.
Atoms (fractional coordinates):
Pu 0.0000 0.0000 0.0000  2 O 1.86
Ag 0.0000 0.0000 0.5000  4 O 2.10-2.15
Pb 0.4651 0.4649 0.2568  5 O 2.22-2.26
Pb 0.5349 0.5351 0.7432  5 O 2.22-2.26
O 0.1675 0.1657 0.2380  1 Ag 2.10, 1 Pu 2.14, 1 Pb 2.26
O 0.2002 0.1970 0.8198  1 Pu 1.86
O 0.2998 0.6990 0.5002  1 Ag 2.15, 2 Pb 2.22-2.23
O 0.3027 0.6943 0.0001  1 Pu 2.17, 2 Pb 2.24-2.25
O 0.6973 0.3057 0.9999  1 Pu 2.17, 2 Pb 2.24-2.25
O 0.7002 0.3010 0.4998  1 Ag 2.15, 2 Pb 2.22-2.23
O 0.7998 0.8030 0.1802  1 Pu 1.86
O 0.8325 0.8343 0.7620  1 Ag 2.10, 1 Pu 2.14, 1 Pb 2.26



Rb2AgPbO4 | PBE-GGA | relaxed

Space group: I-4 (82)
D(E_F) (states/eV per cell): 1.0
Energy (eV/atom): -4.3867
Formation energy without anion corrections (meV/atom): -846

Cell lengths 5.9601, 5.9601, 5.9601 Å; angles 112.98, 112.98, 102.67 degrees
Last column: nearest neighbours and their distance in Å.
Atoms (fractional coordinates):
Rb 0.0000 0.0000 0.0000  8 O 3.05-3.20
Rb 0.7500 0.2500 0.5000  4 O 2.80
Ag 0.2500 0.7500 0.5000  4 O 2.19
Pb 0.5000 0.5000 0.0000  4 O 2.13
O 0.1870 0.1173 0.6317  1 Pb 2.13, 1 Ag 2.19
O 0.4447 0.8130 0.9303  1 Pb 2.13, 1 Ag 2.19
O 0.4856 0.5553 0.3683  1 Pb 2.13, 1 Ag 2.19
O 0.8827 0.5144 0.0697  1 Pb 2.13, 1 Ag 2.19



AgRu2PbO8 | PBE-GGA | relaxed

Space group: C2/m (12)
D(E_F) (states/eV per cell): 7.3
Energy (eV/atom): -6.0882
Formation energy without anion corrections (meV/atom): -690

Cell lengths 6.5790, 6.5790, 5.7331 Å; angles 106.39, 106.39, 60.57 degrees
Last column: nearest neighbours and their distance in Å.
Atoms (fractional coordinates):
Ag 0.0000 0.0000 0.0000  2 O 2.14
Ru 0.1981 0.1981 0.6565  4 O 1.77-1.79
Ru 0.8019 0.8019 0.3435  4 O 1.77-1.79
Pb 0.5000 0.5000 0.5000  6 O 2.52-2.56
O 0.0861 0.6626 0.2538  1 Ru 1.79
O 0.1584 0.1584 0.3289  1 Ru 1.78
O 0.3374 0.9139 0.7462  1 Ru 1.79
O 0.3626 0.3626 0.7759  1 Ru 1.77
O 0.6374 0.6374 0.2241  1 Ru 1.77
O 0.6626 0.0861 0.2538  1 Ru 1.79
O 0.8416 0.8416 0.6711  1 Ru 1.78
O 0.9139 0.3374 0.7462  1 Ru 1.79



| no. | total moment (μB per formula unit) |
| --- | --- |
| 1 | 0.99 |
| 2 | 1.50 |
| 3 | 1.03 |
| 4 | 2.42 |